Below is crystalline ZrCo2AgTe at its relaxed geometry, with properties calculated at the PBE-GGA level.

Cell: 4.675 5.170 4.675 Å, 90.00 90.00 90.00°
Each line ends with the local moment (μB).
Atoms (fractional coordinates):
Co1 0.000 0.000 0.500  2.04
Co2 0.500 0.000 0.000  1.79
Te1 0.500 0.500 0.500  0.04
Zr1 0.000 0.500 0.000  -0.01
Ag1 0.000 0.000 0.000  0.02

Calculated volume = 112.99 Å³/f.u.
Total moment = 3.8 μB/cell
ΔE_f (raw) = 1058.5 meV per atom